The following is a DFT calculation (PBE+U) of crystalline Mg6MnNiO8 at its relaxed geometry.

```
16
Lattice="4.290 0.000 0.000 0.000 4.290 0.000 0.000 0.000 8.575" Properties=species:S:1:pos:R:3 pbc="T T T"
Mg 0.000 0.000 0.000
Mg 0.000 0.000 4.288
Mg 0.000 2.145 2.113
Mg 0.000 2.145 6.462
Mg 2.145 0.000 2.113
Mg 2.145 0.000 6.462
Mn 2.145 2.145 4.288
Ni 2.145 2.145 0.000
O 0.000 0.000 2.144
O 0.000 0.000 6.431
O 0.000 2.145 0.000
O 0.000 2.145 4.288
O 2.145 0.000 0.000
O 2.145 0.000 4.288
O 2.145 2.145 2.075
O 2.145 2.145 6.500
```

Computed properties:
Its space group is P4/mmm, No. 123. Its spin magnetization is 7.00 μB/cell. The value obtained for the electronic total energy is -6.061 eV per atom.